{"formula": "RbGeB", "functional": "GGA-PBE", "state": "relaxed", "dft_energy_ev_per_cell": -43.09, "formation_energy_ev_per_atom": 0.497, "lattice_angstrom": [[10.8059, 0.0000, 0.0000], [0.0000, 3.7993, 0.0000], [0.0000, 0.0000, 8.0035]], "species": ["Rb", "Rb", "Rb", "Rb", "Ge", "Ge", "Ge", "Ge", "B", "B", "B", "B"], "frac_coords": [[0.7935, 0.7500, 0.0381], [0.2935, 0.7500, 0.4619], [0.2065, 0.2500, 0.9619], [0.7065, 0.2500, 0.5381], [0.9896, 0.7500, 0.6551], [0.4896, 0.7500, 0.8449], [0.5104, 0.2500, 0.1551], [0.0104, 0.2500, 0.3449], [0.4372, 0.7500, 0.1130], [0.9372, 0.7500, 0.3870], [0.0628, 0.2500, 0.6130], [0.5628, 0.2500, 0.8870]]}

***

{"formula": "RbGeB", "functional": "GGA-PBE", "state": "relaxed", "dft_energy_ev_per_cell": -45.62, "formation_energy_ev_per_atom": 0.286, "lattice_angstrom": [[10.7789, 0.0000, 0.0000], [0.0000, 10.7789, 0.0000], [5.3894, 5.3894, 3.5000]], "species": ["Rb", "Rb", "Rb", "Rb", "Ge", "Ge", "Ge", "Ge", "B", "B", "B", "B"], "frac_coords": [[0.7845, 0.5000, 0.0000], [0.5000, 0.2155, 0.0000], [0.5000, 0.7845, 0.0000], [0.2155, 0.5000, 0.0000], [0.0000, 0.7488, 0.0000], [0.7488, 0.0000, 0.0000], [0.0000, 0.2512, 0.0000], [0.2512, 0.0000, 0.0000], [0.0805, 0.0805, 0.0000], [0.0805, 0.9195, 0.0000], [0.9195, 0.0805, 0.0000], [0.9195, 0.9195, 0.0000]]}

***

{"formula": "RbGeB", "functional": "GGA-PBE", "state": "relaxed", "dft_energy_ev_per_cell": -22.92, "formation_energy_ev_per_atom": 0.268, "lattice_angstrom": [[6.5365, 0.0011, -0.0060], [-0.0016, 4.8691, -0.0004], [-4.5378, 2.3872, 5.8474]], "species": ["B", "B", "Ge", "Ge", "Rb", "Rb"], "frac_coords": [[0.5463, 0.4973, 0.6788], [0.5467, 0.1701, 0.6790], [0.5382, 0.7504, 0.8487], [0.6401, 0.8902, 0.5636], [0.9434, 0.0426, 0.2722], [0.1545, 0.2429, 0.8657]]}

***

{"formula": "RbGeB", "functional": "GGA-PBE", "state": "relaxed", "dft_energy_ev_per_cell": -21.91, "formation_energy_ev_per_atom": 0.435, "lattice_angstrom": [[3.6115, 0.0000, 0.0000], [0.0000, 10.3513, 0.0000], [1.8057, 5.1756, 4.2210]], "species": ["Ge", "Ge", "Rb", "Rb", "B", "B"], "frac_coords": [[0.2091, 0.7091, 0.5818], [0.0745, 0.0745, 0.8509], [0.8528, 0.1490, 0.2944], [0.8528, 0.5566, 0.2944], [0.4664, 0.9664, 0.0672], [0.6124, 0.6124, 0.7753]]}

***

{"formula": "RbGe3B", "functional": "GGA-PBE", "state": "relaxed", "dft_energy_ev_per_cell": -17.81, "polymorph_energy_ev_per_atom": 0.0000, "formation_energy_ev_per_atom": 0.737, "lattice_angstrom": [[-3.0010, 2.0626, 3.0573], [0.6576, -3.5791, 3.0602], [3.6289, 2.3543, 1.9737]], "species": ["Ge", "Ge", "Ge", "B", "Rb"], "frac_coords": [[0.0000, 0.0000, 0.5000], [0.5000, 0.0000, 0.0000], [0.0000, 0.5000, 0.0000], [0.0000, 0.0000, 0.0000], [0.5000, 0.5000, 0.5000]]}

***

{"formula": "RbGeB", "functional": "GGA-PBE", "state": "relaxed", "dft_energy_ev_per_cell": -23.18, "formation_energy_ev_per_atom": 0.224, "lattice_angstrom": [[17.4006, 0.0000, -0.0084], [6.8493, 1.7476, -3.3725], [-6.8493, 1.7476, 3.3725]], "species": ["Ge", "Ge", "B", "B", "Rb", "Rb"], "frac_coords": [[0.2279, 0.9996, 0.0004], [0.1023, 0.5254, 0.4746], [0.9594, 0.0388, 0.4636], [0.9594, 0.5364, 0.9612], [0.6058, 0.0743, 0.9257], [0.1273, 0.8009, 0.1991]]}

***

{"formula": "RbGeB", "functional": "GGA-PBE", "state": "relaxed", "dft_energy_ev_per_cell": -22.59, "formation_energy_ev_per_atom": 0.322, "lattice_angstrom": [[6.1052, 0.0101, 0.0191], [-2.5662, 6.4768, 0.0948], [-0.0137, -1.6502, 4.2237]], "species": ["B", "B", "Ge", "Ge", "Rb", "Rb"], "frac_coords": [[0.5107, 0.8888, 0.4451], [0.4893, 0.1112, 0.5549], [0.4515, 0.3940, 0.6963], [0.5485, 0.6060, 0.3037], [0.1248, 0.7807, 0.8903], [0.8752, 0.2193, 0.1097]]}

***

{"formula": "RbGeB", "functional": "GGA-PBE", "state": "relaxed", "dft_energy_ev_per_cell": -11.52, "formation_energy_ev_per_atom": 0.246, "lattice_angstrom": [[-1.6200, -2.3044, 2.3079], [3.0863, -0.9679, -1.6730], [3.0204, 2.1888, 4.3057]], "species": ["Ge", "B", "Rb"], "frac_coords": [[0.0000, 0.0000, 0.5000], [0.3333, 0.6667, 0.5000], [0.6667, 0.3333, 0.0000]]}